1.
LaGa4Ag | Alexandria via LeMat-Bulk | GGA-PBE | optimized geometry; space group = F-43m, No. 216; ΔH_f (0 K) = -0.238 eV per atom; ΔE to the lowest computed polymorph = 0.061 eV/atom
1.0
0.000 3.968 3.968
3.968 0.000 3.968
3.968 3.968 0.000
La Ga Ag
1 4 1
direct
0.000 0.000 0.000
0.375 0.375 0.375
0.375 0.375 0.875
0.375 0.875 0.375
0.875 0.375 0.375
0.750 0.750 0.750

***

2.
PmHg3 | Alexandria via LeMat-Bulk | GGA-PBE | optimized geometry; space group = Pmmn, No. 59; ΔH_f (0 K) = -0.368 eV per atom
1.0
5.184 0.000 0.000
0.000 7.111 0.000
0.000 0.000 5.411
Pm Hg
2 6
direct
0.250 0.250 0.185
0.750 0.750 0.815
0.250 0.000 0.689
0.250 0.500 0.689
0.250 0.750 0.195
0.750 0.000 0.311
0.750 0.250 0.805
0.750 0.500 0.311

***

3.
SrLi4Si2Sn | Alexandria via LeMat-Bulk | GGA-PBE | optimized geometry; space group = R-3m, No. 166; raw formation energy = -0.157 eV per atom
1.0
2.289 1.322 8.596
-2.289 1.322 8.596
0.000 -2.644 8.596
Sr Li Si Sn
1 4 2 1
direct
0.000 0.000 0.000
0.126 0.126 0.126
0.399 0.399 0.399
0.601 0.601 0.601
0.874 0.874 0.874
0.249 0.249 0.249
0.751 0.751 0.751
0.500 0.500 0.500

***

4.
Sc5Te4C | Alexandria via LeMat-Bulk | GGA-PBE | optimized geometry; space group = I4, No. 79; raw formation energy = -1.011 eV per atom
1.0
-4.519 4.519 2.865
4.519 -4.519 2.865
4.519 4.519 -2.865
Sc Te C
5 4 1
direct
0.000 0.000 0.000
0.199 0.348 0.679
0.348 0.670 0.149
0.520 0.199 0.851
0.670 0.520 0.321
0.024 0.628 0.781
0.243 0.024 0.396
0.628 0.847 0.604
0.847 0.243 0.219
0.409 0.409 0.000

***

5.
Al6CoNi5 | Alexandria via LeMat-Bulk | GGA-PBE | optimized geometry; space group = Cmmm, No. 65; ΔH_f (0 K) = -0.639 eV per atom
1.0
2.033 -6.100 0.000
2.033 6.100 0.000
0.000 0.000 5.814
Al Co Ni
6 1 5
direct
0.000 0.000 0.248
0.000 0.000 0.752
0.334 0.666 0.249
0.334 0.666 0.751
0.666 0.334 0.249
0.666 0.334 0.751
0.500 0.500 0.000
0.166 0.834 0.000
0.168 0.832 0.500
0.500 0.500 0.500
0.832 0.168 0.500
0.834 0.166 0.000

***

6.
AcAgRh4 | Alexandria via LeMat-Bulk | GGA-PBE | optimized geometry; space group = F-43m, No. 216; ΔH_f (0 K) = -0.170 eV per atom
1.0
0.000 3.822 3.822
3.822 0.000 3.822
3.822 3.822 0.000
Ac Ag Rh
1 1 4
direct
0.000 0.000 0.000
0.750 0.750 0.750
0.376 0.376 0.376
0.376 0.376 0.873
0.376 0.873 0.376
0.873 0.376 0.376

***

7.
La3Al2CdPd9 | Alexandria via LeMat-Bulk | GGA-PBE | optimized geometry; space group = P-3m1, No. 164; ΔH_f (0 K) = -0.649 eV per atom
1.0
5.800 0.000 0.000
-2.900 5.023 0.000
0.000 0.000 11.681
La Al Cd Pd
3 2 1 9
direct
0.000 0.000 0.000
0.333 0.667 0.732
0.667 0.333 0.268
0.333 0.667 0.159
0.667 0.333 0.841
0.000 0.000 0.500
0.000 0.500 0.000
0.162 0.323 0.306
0.162 0.838 0.306
0.323 0.162 0.694
0.500 0.000 0.000
0.500 0.500 0.000
0.677 0.838 0.306
0.838 0.162 0.694
0.838 0.677 0.694

***

8.
BaHgBi4 | Alexandria via LeMat-Bulk | GGA-PBE | optimized geometry; space group = P-1, No. 2; ΔH_f (0 K) = -0.232 eV per atom; ΔE to the lowest computed polymorph = 0.038 eV/atom
1.0
7.091 0.000 0.000
0.881 7.061 0.000
1.328 1.730 8.911
Ba Hg Bi
2 2 8
direct
0.220 0.176 0.045
0.780 0.824 0.955
0.000 0.000 0.500
0.500 0.500 0.500
0.095 0.314 0.641
0.283 0.682 0.809
0.308 0.629 0.150
0.492 0.059 0.658
0.508 0.941 0.342
0.692 0.371 0.850
0.717 0.318 0.191
0.905 0.686 0.359

***

DOS at the Fermi energy for the records above, in order: 3.4 2.0 0.4 7.6 7.6 9.2 4.1 1.7 states/eV/f.u.
Calculated density for the records above, in order: 6.988 12.435 3.088 5.301 5.921 11.101 7.518 8.738 g/cm³
Energy for the records above, in order: -3.55 -1.78 -3.18 -6.36 -5.51 -6.23 -5.31 -3.19 eV/atom